First-principles (PBE-GGA) data for an optimized crystal structure of HoTm5Zn4, as listed in Alexandria via LeMat-Bulk. Values from VASP.

Structure (Quantum ESPRESSO input):
```
&SYSTEM
  ibrav = 0, nat = 10, ntyp = 3
/
ATOMIC_SPECIES
Zn 65.41 Zn.upf
Tm 168.93 Tm.upf
Ho 164.93 Ho.upf
CELL_PARAMETERS angstrom
3.516 0.000 0.000
0.000 3.516 0.000
0.000 0.000 19.140
ATOMIC_POSITIONS angstrom
Zn 0.000 0.000 14.846
Tm 1.758 1.758 6.052
Tm 1.758 1.758 16.613
Ho 0.000 0.000 0.000
Tm 1.758 1.758 2.527
Zn 0.000 0.000 7.790
Tm 1.758 1.758 13.088
Tm 1.758 1.758 9.570
Zn 0.000 0.000 4.294
Zn 0.000 0.000 11.350
```

Properties
Electronic total energy ... -34.764 eV/f.u.
Calculated volume ... 236.61 Å³ per cell
ΔE_f ... -0.27 eV/atom